The following is a DFT calculation (PBE-GGA) of an optimized crystal structure of TlIn2S4.

The theoretical density comes out at 5.2 g cm⁻³. For the magnetic moment, the calculation gives 0.0 μB per cell.

It has space group Imma (No. 74), with a = 7.7568 Å, b = 8.1358 Å, c = 11.2897 Å, α = 90.00°, β = 90.00° and γ = 90.00°. Symmetry generates all atoms from Tl at (0.2500, 0.2500, 0.2500), In at (0.0000, 0.0000, 0.0000), In at (0.0000, 0.2500, 0.6386), S at (0.0000, 0.0018, 0.2337) and S at (0.2334, 0.2500, 0.9976).

=====

The following is a DFT calculation (PBE-GGA) of an optimized crystal structure of Tl3InS4.

The theoretical density comes out at 6.1 g cm⁻³. For the magnetic moment, the calculation gives 0.0 μB per cell.

It has space group Pmn2_1 (No. 31), with a = 10.5939 Å, b = 6.6798 Å, c = 6.6017 Å, α = 90.00°, β = 90.00° and γ = 90.00°. Symmetry generates all atoms from Tl at (0.0000, 0.2385, 0.0000), Tl at (0.2498, 0.2791, 0.4961), In at (0.0000, 0.8038, 0.4633), S at (0.0000, 0.1789, 0.5215), S at (0.0000, 0.7645, 0.0807) and S at (0.2099, 0.6866, 0.5746).

=====

The following is a DFT calculation (PBE-GGA) of an optimized crystal structure of Tl2InS2.

The theoretical density comes out at 7.0 g cm⁻³. For the magnetic moment, the calculation gives 0.0 μB per cell.

It has space group P4/mbm (No. 127), with a = 7.5557 Å, b = 7.5557 Å, c = 4.8582 Å, α = 90.00°, β = 90.00° and γ = 90.00°. Symmetry generates all atoms from Tl at (0.1459, 0.3541, 0.0000), In at (0.0000, 0.0000, 0.5000) and S at (0.1869, 0.6869, 0.5000).

=====

Formation energy without anion corrections (meV per atom)
-354; -337; -140